First-principles (PBE) data for a relaxed structure of TaTiNbPt, as listed in Alexandria.

Formation energy from the elements in kcal/mol of atoms: -10.37

Cell: 4.5573 4.5573 4.5573 Å, 60.00 60.00 60.00°
Element x y z (fractional)
Pt: 0.5000 0.5000 0.5000
Ta: 0.7500 0.7500 0.7500
Nb: 0.0000 0.0000 0.0000
Ti: 0.2500 0.2500 0.2500



First-principles (PBE) data for a relaxed structure of H4PbSe, as listed in Alexandria.

Cell: 8.2321 8.2321 4.2444 Å, 90.00 90.00 136.10°
Element x y z (fractional)
H: 0.7249 0.8706 0.7500
H: 0.2459 0.3160 0.7500
H: 0.8706 0.7249 0.2500
H: 0.1294 0.2751 0.7500
H: 0.3160 0.2459 0.2500
H: 0.2751 0.1294 0.2500
H: 0.6840 0.7541 0.7500
H: 0.7541 0.6840 0.2500
Se: 0.1972 0.8028 0.7500
Se: 0.8028 0.1972 0.2500
Pb: 0.6801 0.3199 0.7500
Pb: 0.3199 0.6801 0.2500



First-principles (PBE) data for a relaxed structure of Tl2GaCu2, as listed in Alexandria.

Formation energy from the elements in kcal/mol of atoms: 5.47
Offset from the most stable computed form in kJ per mole of atoms: 3.1

Cell: 3.4596 3.4596 9.1997 Å, 79.16 79.16 90.00°
Element x y z (fractional)
Ga: 0.0000 0.0000 0.0000
Cu: 0.2500 0.7500 0.5000
Cu: 0.7500 0.2500 0.5000
Tl: 0.3821 0.3821 0.2357
Tl: 0.6179 0.6179 0.7643



First-principles (PBE) data for a relaxed structure of CrBi, as listed in Alexandria.

Formation energy from the elements in kcal/mol of atoms: 16.87

Cell: 3.2825 6.7305 13.6968 Å, 90.00 90.00 90.00°
Last column: magnetic moment on the atom in μB.
Element x y z (fractional)
Bi: 0.5000 0.0781 0.0000  -0.12
Bi: 0.0000 0.9219 0.5000  -0.12
Bi: 0.5000 0.3293 0.6705  -0.04
Bi: 0.5000 0.3293 0.3295  -0.04
Bi: 0.0000 0.6707 0.1705  -0.04
Bi: 0.0000 0.6707 0.8295  -0.04
Cr: 0.5000 0.5733 0.5000  3.76
Cr: 0.0000 0.9649 0.6996  -0.03
Cr: 0.0000 0.9649 0.3004  -0.03
Cr: 0.5000 0.0351 0.8004  -0.03
Cr: 0.0000 0.4267 0.0000  3.76
Cr: 0.5000 0.0351 0.1996  -0.03



Calculated calculated total energy, -9.414; -3.584; -2.953; -6.021 eV per atom (same order as the records).